LaDy2Rh3 after structural relaxation. Source: Alexandria, functional GGA-PBE.

Computed properties:
ΔE_f (eV/atom): -0.781
SG: P-3m1 (164)

Lattice parameters (Å, degrees): 4.9213 4.9213 6.0468 90.00 90.00 120.00
Atoms (fractional coordinates):
La (0.0000, 0.0000, 0.0000)
Dy (0.6667, 0.3333, 0.3382)
Dy (0.3333, 0.6667, 0.6618)
Rh (0.0000, 0.0000, 0.5000)
Rh (0.6667, 0.3333, 0.8205)
Rh (0.3333, 0.6667, 0.1795)


Pu2NiBi after structural relaxation. Source: Alexandria, functional GGA-PBE.

Computed properties:
ΔE_f (eV/atom): -0.159
SG: P4/mmm (123)

Lattice parameters (Å, degrees): 3.3500 3.3500 8.5388 90.00 90.00 90.00
Site moments in Bohr magnetons follow the coordinates.
Atoms (fractional coordinates):
Ni (0.5000, 0.5000, 0.0000)  -0.15
Bi (0.5000, 0.5000, 0.5000)  -0.05
Pu (0.0000, 0.0000, 0.8029)  5.40
Pu (0.0000, 0.0000, 0.1971)  5.40


CeNdInGe after structural relaxation. Source: Alexandria, functional GGA-PBE.

Computed properties:
ΔE_f (eV/atom): -0.444
SG: F-43m (216)

Lattice parameters (Å, degrees): 5.3351 5.3351 5.3351 60.00 60.00 60.00
Site moments in Bohr magnetons follow the coordinates.
Atoms (fractional coordinates):
Ge (0.7500, 0.7500, 0.7500)  0.01
Nd (0.0000, 0.0000, 0.0000)  0.09
Ce (0.5000, 0.5000, 0.5000)  0.87
In (0.2500, 0.2500, 0.2500)  0.02


Ac4Ir2Pt5 after structural relaxation. Source: Alexandria, functional GGA-PBE.

Computed properties:
ΔE_f (eV/atom): -0.871
SG: P2/m (10)

Lattice parameters (Å, degrees): 4.2850 7.1955 8.7399 92.61 90.00 90.00
Atoms (fractional coordinates):
Ac (0.5000, 0.7437, 0.5983)
Ac (0.5000, 0.2224, 0.8799)
Ac (0.5000, 0.2563, 0.4017)
Ac (0.5000, 0.7776, 0.1201)
Ir (0.0000, 0.0910, 0.6268)
Ir (0.0000, 0.9090, 0.3732)
Pt (0.0000, 0.5449, 0.3089)
Pt (0.0000, 0.1661, 0.1519)
Pt (0.0000, 0.5000, 0.0000)
Pt (0.0000, 0.8339, 0.8481)
Pt (0.0000, 0.4551, 0.6911)


RbTeAuI2 after structural relaxation. Source: Alexandria, functional GGA-PBE.

Computed properties:
Energy relative to the elements, uncorrected (meV/atom): -449
SG: P4/mmm (123)

Lattice parameters (Å, degrees): 6.4566 5.2441 6.4566 90.00 90.00 90.00
Atoms (fractional coordinates):
I (0.0000, 0.0000, 0.5000)
I (0.5000, 0.0000, 0.0000)
Te (0.0000, 0.0000, 0.0000)
Au (0.0000, 0.5000, 0.0000)
Rb (0.5000, 0.5000, 0.5000)


BaRe2Ag after structural relaxation. Source: Alexandria, functional GGA-PBE.

Computed properties:
ΔE_f (eV/atom): 0.532
SG: P4mm (99)

Lattice parameters (Å, degrees): 3.1916 3.1929 9.0425 69.37 90.00 90.00
Atoms (fractional coordinates):
Re (0.0000, 0.9256, 0.0740)
Re (0.5000, 0.2816, 0.2190)
Ba (0.5000, 0.7379, 0.7618)
Ag (0.0000, 0.5549, 0.4453)


Values for total magnetic moment, μB per cell, ordered as above
0.00, 11.22, 1.25, 0.00, 0.00, 0.00